Arrangement i

A relaxed structure of ZnSiTc2, computed with PBE.

Summary:
As for the total magnetization: 0.00 Bohr magnetons per cell. For the density, the calculation gives 8.480 g cm⁻³.

abc: 8.3595 8.3595 8.3595
angles: 19.46 19.46 19.46
Element x y z (fractional)
Zn 0.0000 0.0000 0.0000
Si 0.5000 0.5000 0.5000
Tc 0.2449 0.2449 0.2449
Tc 0.7551 0.7551 0.7551

---

Arrangement ii

A relaxed structure of ZnSiTc2, computed with PBE.

Summary:
As for the total magnetization: 0.00 Bohr magnetons per cell. For the density, the calculation gives 8.745 g cm⁻³.

abc: 3.0564 3.0564 5.8847
angles: 90.00 90.00 90.00
Element x y z (fractional)
Zn 0.0000 0.0000 0.0000
Si 0.5000 0.5000 0.2409
Tc 0.0000 0.0000 0.4714
Tc 0.5000 0.5000 0.7475

---

Arrangement iii

A relaxed structure of ZnSiTc2, computed with PBE.

Summary:
As for the total magnetization: 0.00 Bohr magnetons per cell. For the density, the calculation gives 8.482 g cm⁻³.

abc: 4.4175 4.4175 4.8702
angles: 102.61 102.61 37.80
Element x y z (fractional)
Zn 0.0000 0.0000 0.0000
Si 0.5000 0.5000 0.5000
Tc 0.2380 0.2380 0.7379
Tc 0.7620 0.7620 0.2621

---

It comes down to arrangement ii, which is 7.1 kJ/mol of atoms more stable than the next structure.

---

Arrangement i

A relaxed structure of ZnSiTc2, computed with PBE.

Summary:
As for the total magnetization: 0.00 Bohr magnetons per cell. For the density, the calculation gives 8.636 g cm⁻³.

abc: 4.2859 4.2859 4.2859
angles: 60.00 60.00 60.00
Element x y z (fractional)
Zn 0.0000 0.0000 0.0000
Si 0.2500 0.2500 0.2500
Tc 0.5000 0.5000 0.5000
Tc 0.7500 0.7500 0.7500

---

Arrangement ii

A relaxed structure of ZnSiTc2, computed with PBE.

Summary:
As for the total magnetization: 0.00 Bohr magnetons per cell. For the density, the calculation gives 8.503 g cm⁻³.

abc: 4.9400 4.9400 2.7336
angles: 102.90 102.90 112.31
Element x y z (fractional)
Zn 0.0000 0.0000 0.0000
Si 0.5000 0.5000 0.0000
Tc 0.0000 0.5000 0.5000
Tc 0.5000 0.0000 0.5000

---

Arrangement iii

A relaxed structure of ZnSiTc2, computed with PBE.

Summary:
As for the total magnetization: 0.00 Bohr magnetons per cell. For the density, the calculation gives 8.667 g cm⁻³.

abc: 2.9745 2.9745 6.2689
angles: 90.00 90.00 90.00
Element x y z (fractional)
Zn 0.0000 0.0000 0.0000
Si 0.0000 0.0000 0.5000
Tc 0.5000 0.5000 0.2807
Tc 0.5000 0.5000 0.7193

---

It comes down to arrangement iii, which is 19.8 kJ/mol of atoms more stable than the next structure.

---

Arrangement i

A relaxed structure of Zn3SiTc, computed with PBE.

Summary:
As for the total magnetization: 0.25 Bohr magnetons per cell. For the density, the calculation gives 4.898 g cm⁻³.

abc: 4.7809 4.7809 4.7809
angles: 90.00 90.00 90.00
Element x y z (fractional)
Zn 0.0000 0.0000 0.5000
Zn 0.0000 0.5000 0.0000
Zn 0.5000 0.0000 0.0000
Si 0.5000 0.5000 0.5000
Tc 0.0000 0.0000 0.0000

---

Arrangement ii

A relaxed structure of Zn3SiTc, computed with PBE.

Summary:
As for the total magnetization: 3.15 Bohr magnetons per cell. For the density, the calculation gives 5.583 g cm⁻³.

abc: 4.5767 4.5767 4.5767
angles: 90.00 90.00 90.00
Element x y z (fractional)
Zn 0.0000 0.0000 0.5000
Zn 0.0000 0.5000 0.0000
Zn 0.5000 0.0000 0.0000
Si 0.0000 0.0000 0.0000
Tc 0.5000 0.5000 0.5000

---

It comes down to arrangement ii, which is 0.5 kJ/mol of atoms more stable than the next structure.